Material: CoAg3
Method: DFT, PBE
State: optimized geometry

DFT formation energy in meV per atom: 339.0
Magnetic moment in μB per atom: 0.436
Crystal system: orthorhombic

a = 2.798 Å, b = 4.679 Å, c = 4.976 Å
α = 90.00°, β = 90.00°, γ = 90.00°
Each line ends with the local moment (μB).
Fractional coordinates of all 4 atoms:
1 Ag 0.000 0.000 0.010  0.00
2 Ag 0.500 0.500 0.829  0.00
3 Ag 0.500 0.000 0.497  0.00
4 Co 0.000 0.500 0.332  1.81